CaBe2Rh | PBE | optimized geometry

```
data_CaBe2Rh
_chemical_formula_sum 'Ca4 Be8 Rh4'
_space_group_name_H-M_alt 'I 41/a m d'
_space_group_IT_number 141
_cell_length_a 4.3518
_cell_length_b 4.3518
_cell_length_c 15.3211
_cell_angle_alpha 90.00
_cell_angle_beta 90.00
_cell_angle_gamma 90.00
loop_
_space_group_symop_operation_xyz
'x,y,z'
'-x,-y,-z'
'-y+1/4,x+3/4,z+1/4'
'y+1/4,-x+3/4,-z+1/4'
'-x+1/2,-y,z+1/2'
'x+1/2,y,-z+1/2'
'y+1/4,-x+1/4,z+3/4'
'-y+1/4,x+1/4,-z+3/4'
'x,-y,-z'
'-x,y,z'
'-y+1/4,-x+1/4,-z+3/4'
'y+1/4,x+1/4,z+3/4'
'-x+1/2,y,-z+1/2'
'x+1/2,-y,z+1/2'
'y+1/4,x+3/4,-z+1/4'
'-y+1/4,-x+3/4,z+1/4'
'x+1/2,y+1/2,z+1/2'
'-x+1/2,-y+1/2,-z+1/2'
'-y+3/4,x+1/4,z+3/4'
'y+3/4,-x+1/4,-z+3/4'
'-x,-y+1/2,z'
'x,y+1/2,-z'
'y+3/4,-x+3/4,z+1/4'
'-y+3/4,x+3/4,-z+1/4'
'x+1/2,-y+1/2,-z+1/2'
'-x+1/2,y+1/2,z+1/2'
'-y+3/4,-x+3/4,-z+1/4'
'y+3/4,x+3/4,z+1/4'
'-x,y+1/2,-z'
'x,-y+1/2,z'
'y+3/4,x+1/4,-z+3/4'
'-y+3/4,-x+1/4,z+3/4'
loop_
_atom_site_label
_atom_site_fract_x
_atom_site_fract_y
_atom_site_fract_z
Ca1 0.0000 0.2500 0.3750
Be1 0.0000 0.0000 0.0000
Rh1 0.0000 0.2500 0.8750
```

Properties
Density of states at the Fermi level = 1.145 states/eV/f.u.
DFT total energy = -4.266 eV/atom